# 1
DFT (PBE) results for an optimized crystal structure of Ca3Tl2Cd9.

Properties
Final energy, eV/atom: -1.56
Magnetic moment, μB per cell: 0.00
Formation energy from the elements, eV per formula unit: -2.83

```
data_Ca3Tl2Cd9
_chemical_formula_sum 'Ca6 Tl4 Cd18'
_symmetry_space_group_name_H-M 'I m m m'
_symmetry_Int_Tables_number 71
_symmetry_space_group_name_Hall '-I 2 2'
_cell_length_a 4.755
_cell_length_b 11.190
_cell_length_c 13.792
_cell_angle_alpha 90.00
_cell_angle_beta 90.00
_cell_angle_gamma 90.00
loop_
_atom_site_label
_atom_site_type_symbol
_atom_site_fract_x
_atom_site_fract_y
_atom_site_fract_z
Ca1 Ca 0.000 0.000 0.000
Ca2 Ca 0.000 0.000 0.294
Tl1 Tl 0.000 0.177 0.500
Cd1 Cd 0.000 0.278 0.153
Cd2 Cd 0.000 0.375 0.352
Cd3 Cd 0.000 0.500 0.000
```



# 2
DFT (PBE) results for an optimized crystal structure of AcSm5HoTm2.

Properties
Final energy, eV/atom: -4.49
Magnetic moment, μB per cell: 0.00
Formation energy from the elements, eV per formula unit: 0.79

```
data_AcSm5HoTm2
_chemical_formula_sum 'Ac4 Sm20 Ho4 Tm8'
_symmetry_space_group_name_H-M 'C m c 21'
_symmetry_Int_Tables_number 36
_symmetry_space_group_name_Hall 'C 2c -2'
_cell_length_a 5.770
_cell_length_b 17.418
_cell_length_c 12.102
_cell_angle_alpha 90.00
_cell_angle_beta 90.00
_cell_angle_gamma 90.00
loop_
_atom_site_label
_atom_site_type_symbol
_atom_site_fract_x
_atom_site_fract_y
_atom_site_fract_z
Ac1 Ac 0.000 0.114 0.000
Sm1 Sm 0.000 0.079 0.340
Sm2 Sm 0.000 0.081 0.665
Sm3 Sm 0.000 0.268 0.796
Sm4 Sm 0.000 0.269 0.205
Sm5 Sm 0.000 0.440 0.648
Ho1 Ho 0.000 0.249 0.500
Tm1 Tm 0.000 0.388 0.000
Tm2 Tm 0.000 0.438 0.353
```